(1)
11
Lattice="5.533 -4.217 0.000 5.533 4.217 0.000 -0.854 0.000 4.649" Properties=species:S:1:pos:R:3 comment="PBE AlGa8Au2, optimized geometry" final_energy_ev_per_atom=-3.187 n_ef_per_ev_fu=2.83 space_group=C2/m delta_e_f_mev_per_atom=-50 vol_a3_per_cell=217.0 pbc="T T T"
Al 0.000 0.000 0.000
Ga 4.573 1.792 1.007
Ga 2.673 0.000 0.569
Ga 5.640 1.792 3.642
Ga 3.609 0.000 3.171
Ga 6.604 0.000 1.478
Ga 4.573 -1.792 1.007
Ga 7.540 0.000 4.080
Ga 5.640 -1.792 3.642
Au 0.984 0.000 2.608
Au 9.229 0.000 2.041


(2)
16
Lattice="6.869 0.000 0.000 0.000 6.869 0.000 0.000 0.000 6.869" Properties=species:S:1:pos:R:3 comment="PBE GdAlGaAu, optimized geometry" final_energy_ev_per_atom=-6.569 n_ef_per_ev_fu=1.24 space_group=F-43m delta_e_f_mev_per_atom=-537 vol_a3_per_cell=324.0 pbc="T T T"
Gd 0.000 0.000 0.000
Gd 0.000 3.434 3.434
Gd 3.434 0.000 3.434
Gd 3.434 3.434 0.000
Al 0.000 0.000 3.434
Al 0.000 3.434 0.000
Al 3.434 0.000 0.000
Al 3.434 3.434 3.434
Ga 1.717 1.717 5.151
Ga 1.717 5.151 1.717
Ga 5.151 1.717 1.717
Ga 5.151 5.151 5.151
Au 1.717 1.717 1.717
Au 1.717 5.151 5.151
Au 5.151 1.717 5.151
Au 5.151 5.151 1.717


(3)
4
Lattice="4.004 0.000 0.000 0.000 4.059 0.000 0.000 0.000 4.312" Properties=species:S:1:pos:R:3 comment="PBE HfAlGaAu, optimized geometry" final_energy_ev_per_atom=-5.460 n_ef_per_ev_fu=2.05 space_group=Pmmm delta_e_f_mev_per_atom=-460 vol_a3_per_cell=70.1 pbc="T T T"
Hf 0.000 0.000 0.000
Al 2.002 0.000 2.156
Ga 2.002 2.030 0.000
Au 0.000 2.030 2.156